ScVNO2, optimized geometry, DFT GGA+U; uncorrected energy = -7.164 eV per atom; total magnetization = 1.00 μB/cell; space group = P4/mmm
1.0
4.0113 0.0000 0.0000
0.0000 4.0113 0.0000
0.0000 0.0000 4.1664
Sc V N O
1 1 1 2
direct
0.0000 0.0000 0.0000 Sc
0.5000 0.5000 0.5000 V
0.0000 0.0000 0.5000 N
0.0000 0.5000 0.0000 O
0.5000 0.0000 0.0000 O